VASP calculation (PBE+U) on a relaxed structure of VF5.

a = 5.730 Å, b = 5.730 Å, c = 11.041 Å
α = 90.00°, β = 90.00°, γ = 148.56°
Last column: magnetic moment on the atom in μB.
Element x y z (fractional)
V1 0.500 0.500 0.000  0.97
F1 0.356 0.644 0.932  -0.04
F2 0.704 0.296 0.750  0.75
F3 0.296 0.704 0.250  0.75
F4 0.954 0.046 0.101  0.00
F5 0.644 0.356 0.068  -0.04
F6 0.046 0.954 0.899  0.00
V2 0.500 0.500 0.500  0.97
F7 0.046 0.954 0.601  0.00
F8 0.954 0.046 0.399  0.00
F9 0.644 0.356 0.432  -0.04
F10 0.356 0.644 0.568  -0.04

Calculated values
**Raw total energy**: -4.796 eV per atom
**Fermi-level density of states**: 5.9 states/eV/cell
**Total magnetic moment**: 0.299 μB/atom
**Space-group type**: Cmcm